# ZrAl2MoS (PBE, relaxed)
data_ZrAl2MoS
_chemical_formula_sum 'Zr1 Al2 Mo1 S1'
_space_group_name_H-M_alt 'P 1'
_space_group_IT_number 1
_space_group_name_Hall 'P 1'
_cell_length_a 4.8809
_cell_length_b 4.4373
_cell_length_c 4.8809
_cell_angle_alpha 90.00
_cell_angle_beta 90.00
_cell_angle_gamma 90.00
loop_
_atom_site_label
_atom_site_type_symbol
_atom_site_fract_x
_atom_site_fract_y
_atom_site_fract_z
S1 S 0.0000 0.5000 0.0000
Al1 Al 0.5000 0.0000 0.0000
Al2 Al 0.0000 0.0000 0.5000
Zr1 Zr 0.5000 0.5000 0.5000
Mo1 Mo 0.0000 0.0000 0.0000
# VASP energy = -5.746 eV per atom
# raw formation energy = 218 kJ/mol of formula units